# 1
First-principles (PBE) data for a relaxed DyYTl crystal, as listed in Alexandria.

Unit cell a=8.979 b=8.979 c=8.979 alpha=33.60 beta=33.60 gamma=33.60
Fractional positions:
Dy  0.125  0.125  0.125
Dy  0.875  0.875  0.875
Y  0.376  0.376  0.376
Y  0.624  0.624  0.624
Tl  0.250  0.250  0.250
Tl  0.750  0.750  0.750

Summary:
- SG: R-3m (166)
- E: -27.24 eV per cell
- Distance to the lowest polymorph of the same formula: 216 meV per atom


# 2
First-principles (PBE) data for a relaxed DyYTl crystal, as listed in Alexandria.

Unit cell a=5.418 b=5.418 c=6.727 alpha=90.00 beta=90.00 gamma=120.00
Fractional positions:
Dy  0.000  0.000  0.000
Dy  0.000  0.000  0.500
Y  0.333  0.667  0.250
Y  0.667  0.333  0.750
Tl  0.333  0.667  0.750
Tl  0.667  0.333  0.250

Summary:
- SG: P6_3/mmc (194)
- E: -28.54 eV per cell
- Distance to the lowest polymorph of the same formula: 0 meV per atom


# 3
First-principles (PBE) data for a relaxed Dy2YTl crystal, as listed in Alexandria.

Unit cell a=6.736 b=5.317 c=6.774 alpha=90.00 beta=101.46 gamma=90.00
Fractional positions:
Dy  0.083  0.250  0.403
Dy  0.364  0.750  0.275
Dy  0.636  0.250  0.725
Dy  0.917  0.750  0.597
Y  0.169  0.250  0.924
Y  0.831  0.750  0.076
Tl  0.388  0.750  0.756
Tl  0.612  0.250  0.244

Summary:
- SG: P2_1/m (11)
- E: -37.65 eV per cell
- Distance to the lowest polymorph of the same formula: 0 meV per atom


# 4
First-principles (PBE) data for a relaxed Dy7YTl2 crystal, as listed in Alexandria.

Unit cell a=9.056 b=9.056 c=5.311 alpha=90.00 beta=90.00 gamma=119.19
Fractional positions:
Dy  0.000  0.000  0.000
Dy  0.198  0.439  0.000
Dy  0.274  0.726  0.500
Dy  0.439  0.198  0.000
Dy  0.561  0.802  0.000
Dy  0.726  0.274  0.500
Dy  0.802  0.561  0.000
Y  0.500  0.500  0.500
Tl  0.194  0.806  0.000
Tl  0.806  0.194  0.000

Summary:
- SG: Cmmm (65)
- E: -39.80 eV per cell


no.,ΔE_f (kJ per mole of atoms)
1,-6
2,-27
3,-19
4,35